(1)
Sr5TlCd4 | PBE | relaxed

a = 4.0721 Å, b = 4.0721 Å, c = 20.3318 Å
α = 90.00°, β = 90.00°, γ = 90.00°
Closest atoms and distances in Å follow each position.
Positions (direct):
Sr 0.0000 0.0000 0.0000  8 Cd 3.52
Sr 0.0000 0.0000 0.2003  8 Cd 3.52-3.53
Sr 0.0000 0.0000 0.3996  4 Cd 3.52, 4 Tl 3.53
Sr 0.0000 0.0000 0.6004  4 Cd 3.52, 4 Tl 3.53
Sr 0.0000 0.0000 0.7997  8 Cd 3.52-3.53
Tl 0.5000 0.5000 0.5000  8 Sr 3.53
Cd 0.5000 0.5000 0.0995  8 Sr 3.52-3.53
Cd 0.5000 0.5000 0.3003  8 Sr 3.52
Cd 0.5000 0.5000 0.6997  8 Sr 3.52
Cd 0.5000 0.5000 0.9005  8 Sr 3.52-3.53

(2)
SrTl6Cd | PBE | relaxed

Output
**ΔE to the lowest computed polymorph**: 0 meV/atom

a = 6.9058 Å, b = 6.9058 Å, c = 5.4119 Å
α = 90.00°, β = 90.00°, γ = 109.71°
Closest atoms and distances in Å follow each position.
Positions (direct):
Sr 0.0000 0.0000 0.0000  12 Tl 3.45-3.75
Tl 0.0000 0.5000 0.0000  4 Tl 3.36, 2 Cd 3.45, 2 Sr 3.45
Tl 0.2302 0.7698 0.5000  8 Tl 3.36-3.47, 2 Sr 3.75
Tl 0.2899 0.2899 0.5000  2 Cd 3.18, 5 Tl 3.34-3.47, 2 Sr 3.55
Tl 0.5000 0.0000 0.0000  4 Tl 3.36, 2 Cd 3.45, 2 Sr 3.45
Tl 0.7101 0.7101 0.5000  2 Cd 3.18, 5 Tl 3.34-3.47, 2 Sr 3.55
Tl 0.7698 0.2302 0.5000  8 Tl 3.36-3.47, 2 Sr 3.75
Cd 0.5000 0.5000 0.0000  8 Tl 3.18-3.45

(3)
Sr3Tl2Cd | PBE | relaxed

Output
**ΔE to the lowest computed polymorph**: 4 meV/atom

a = 9.1042 Å, b = 9.1042 Å, c = 4.1249 Å
α = 90.00°, β = 90.00°, γ = 143.15°
Closest atoms and distances in Å follow each position.
Positions (direct):
Sr 0.0000 0.0000 0.0000  4 Cd 3.54, 4 Tl 3.55
Sr 0.3342 0.6658 0.0000  2 Cd 3.53, 6 Tl 3.54-3.55
Sr 0.6658 0.3342 0.0000  2 Cd 3.53, 6 Tl 3.54-3.55
Tl 0.1673 0.8327 0.5000  8 Sr 3.54-3.55
Tl 0.8327 0.1673 0.5000  8 Sr 3.54-3.55
Cd 0.5000 0.5000 0.5000  8 Sr 3.53-3.54

(4)
SrTl7Cd4 | PBE | relaxed

a = 7.2972 Å, b = 7.2972 Å, c = 10.4553 Å
α = 119.00°, β = 119.00°, γ = 52.29°
Closest atoms and distances in Å follow each position.
Positions (direct):
Sr 0.0000 0.0000 0.0000  6 Tl 3.22-3.58
Tl 0.0181 0.0181 0.3543  4 Cd 3.12-3.44, 2 Tl 3.33-3.40
Tl 0.2538 0.2538 0.9836  4 Tl 3.14-3.40, 2 Cd 3.19-3.24, 1 Sr 3.42
Tl 0.2911 0.2911 0.3584  4 Cd 3.06-3.26
Tl 0.5000 0.5000 0.0000  2 Tl 3.14, 4 Cd 3.15-3.16, 2 Sr 3.22
Tl 0.7089 0.7089 0.6416  4 Cd 3.06-3.26
Tl 0.7462 0.7462 0.0164  4 Tl 3.14-3.40, 2 Cd 3.19-3.24, 1 Sr 3.42
Tl 0.9819 0.9819 0.6457  4 Cd 3.12-3.44, 2 Tl 3.33-3.40
Cd 0.2564 0.2564 0.6758  1 Cd 3.02, 5 Tl 3.12-3.26
Cd 0.4947 0.4947 0.6955  1 Cd 3.02, 6 Tl 3.06-3.25
Cd 0.5053 0.5053 0.3045  1 Cd 3.02, 6 Tl 3.06-3.25
Cd 0.7436 0.7436 0.3242  1 Cd 3.02, 5 Tl 3.12-3.26

(5)
SrTl4Cd6 | PBE | relaxed

a = 8.0237 Å, b = 8.0237 Å, c = 8.0237 Å
α = 125.96°, β = 125.96°, γ = 79.96°
Closest atoms and distances in Å follow each position.
Positions (direct):
Sr 0.0000 0.0000 0.0000  4 Tl 3.60, 8 Cd 3.64-3.65
Tl 0.0776 0.0776 0.5336  3 Cd 2.99-3.20
Tl 0.4560 0.9224 0.0000  3 Cd 2.99-3.20
Tl 0.5440 0.5440 0.4664  3 Cd 2.99-3.20
Tl 0.9224 0.4560 0.0000  3 Cd 2.99-3.20
Cd 0.0000 0.5000 0.5000  4 Cd 2.93
Cd 0.2542 0.5770 0.0000  4 Cd 2.93-3.14, 3 Tl 2.99-3.20
Cd 0.4230 0.4230 0.6772  4 Cd 2.93-3.14, 3 Tl 2.99-3.20
Cd 0.5000 0.0000 0.5000  4 Cd 2.93
Cd 0.5770 0.2542 0.0000  4 Cd 2.93-3.14, 3 Tl 2.99-3.20
Cd 0.7458 0.7458 0.3228  4 Cd 2.93-3.14, 3 Tl 2.99-3.20

(6)
Sr2TlCd | PBE | relaxed

a = 6.8674 Å, b = 6.8674 Å, c = 6.8674 Å
α = 145.39°, β = 130.96°, γ = 61.40°
Closest atoms and distances in Å follow each position.
Positions (direct):
Sr 0.0000 0.0000 0.0000  4 Cd 3.55, 2 Tl 3.66, 2 Sr 3.74
Sr 0.7056 0.2056 0.5000  4 Tl 3.56, 2 Cd 3.60, 2 Sr 3.74
Tl 0.2574 0.7574 0.5000  2 Cd 3.10
Cd 0.4543 0.4543 0.0000  2 Tl 3.10

| no. | ΔE_f (meV per atom) | total magnetization (μB/f.u.) | E (eV per cell) |
| --- | --- | --- | --- |
| 1 | -353 | 0.00 | -17.97 |
| 2 | -110 | 0.00 | -17.67 |
| 3 | -397 | 0.00 | -13.07 |
| 4 | 20 | 0.00 | -21.67 |
| 5 | -8 | 0.00 | -16.73 |
| 6 | -293 | 0.00 | -7.82 |